This record from Alexandria describes a geometry-optimized Ga2Re4H structure. The functional is GGA-PBE.

The structure in CIF format:
```
data_Ga2Re4H
_chemical_formula_sum 'Ga4 Re8 H2'
_cell_length_a 3.906
_cell_length_b 3.906
_cell_length_c 12.818
_cell_angle_alpha 90.00
_cell_angle_beta 90.00
_cell_angle_gamma 90.00
_space_group_name_H-M_alt 'I 4/m m m'
_space_group_IT_number 139
_space_group_name_Hall '-I 4 2'
loop_
_atom_site_label
_atom_site_type_symbol
_atom_site_fract_x
_atom_site_fract_y
_atom_site_fract_z
Ga1 Ga 0.000 0.000 0.149
Re1 Re 0.000 0.000 0.347
Re2 Re 0.000 0.500 0.000
H1 H 0.000 0.000 0.500
```

Output
DOS at the Fermi energy in states/eV/atom: 1.082
Total energy in eV per atom: -7.992
ρ in g/cm³: 15.0